VASP calculation (PBE) on Sc2ZnAgH after structural relaxation.

Cell: 4.449 4.449 4.026 Å, 90.00 90.00 90.00°
Sites, in units of the cell vectors:
Zn (0.500, 0.500, 0.500)
Ag (0.000, 0.000, 0.500)
Sc (0.000, 0.500, 0.000)
H (0.000, 0.000, 0.000)
Sc (0.500, 0.000, 0.000)

V ... 79.7 Å³/f.u.
E_tot ... -4.2868 eV/atom
Total magnetization ... 0.63 μB per cell
Symmetry ... P4/mmm, No. 123
Excess energy over the best structure of this formula in the dataset ... 0.027 eV per formula unit

---

VASP calculation (PBE) on Sc2ZnAgH after structural relaxation.

Cell: 4.543 4.543 3.835 Å, 90.00 90.00 90.00°
Sites, in units of the cell vectors:
Ag (0.500, 0.500, 0.500)
Sc (0.500, 0.000, 0.000)
Sc (0.000, 0.500, 0.000)
Zn (0.000, 0.000, 0.500)
H (0.000, 0.000, 0.000)

V ... 79.2 Å³/f.u.
E_tot ... -4.2922 eV/atom
Total magnetization ... 0.72 μB per cell
Symmetry ... P4/mmm, No. 123
Excess energy over the best structure of this formula in the dataset ... 0.000 eV per formula unit

---

Question: What is the total magnetization in the first record?
Answer: 0.63 μB per cell